[1]
# PBE Nd2NiBPt6, optimized geometry
data_Nd2NiBPt6
_cell_length_a 5.6667
_cell_length_b 5.6667
_cell_length_c 19.5740
_cell_angle_alpha 90.00
_cell_angle_beta 90.00
_cell_angle_gamma 120.00
_symmetry_space_group_name_H-M 'R -3 m'
_symmetry_Int_Tables_number 166
_symmetry_space_group_name_Hall '-R 3 2"'
loop_
_atom_site_label
_atom_site_type_symbol
_atom_site_fract_x
_atom_site_fract_y
_atom_site_fract_z
Nd1 Nd 0.0000 0.0000 0.2088
Ni1 Ni 0.0000 0.0000 0.5000
B1 B 0.0000 0.0000 0.0000
Pt1 Pt 0.0135 0.5068 0.2695
# Total DFT energy (no corrections) in eV/atom: -6.5883
# Calculated formation energy in meV per atom: -764.4

***

[2]
# PBE Nd3NpB2Rh9, optimized geometry
data_Nd3NpB2Rh9
_cell_length_a 5.9432
_cell_length_b 5.9432
_cell_length_c 8.6516
_cell_angle_alpha 90.00
_cell_angle_beta 90.00
_cell_angle_gamma 120.00
_symmetry_space_group_name_H-M 'P -3 m 1'
_symmetry_Int_Tables_number 164
_symmetry_space_group_name_Hall '-P 3 2"'
loop_
_atom_site_label
_atom_site_type_symbol
_atom_site_fract_x
_atom_site_fract_y
_atom_site_fract_z
Nd1 Nd 0.0000 0.0000 0.0000
Nd2 Nd 0.3333 0.6667 0.6537
Np1 Np 0.0000 0.0000 0.5000
B1 B 0.3333 0.6667 0.1428
Rh1 Rh 0.0000 0.5000 0.0000
Rh2 Rh 0.1651 0.3302 0.2838
# Total DFT energy (no corrections) in eV/atom: -7.6368
# Calculated formation energy in meV per atom: -519.3

***

calculated formation energy of number 2 (Nd3NpB2Rh9)? -519.3 meV per atom

***

The highest total DFT energy (no corrections) belongs to which entry? Nd2NiBPt6